The following is a DFT calculation (PBE-GGA) of ErUPb after structural relaxation.

Unit cell a=3.816 b=4.941 c=8.678 alpha=86.50 beta=102.70 gamma=90.00
Last column: magnetic moment on the atom in μB.
Element x y z (fractional)
1 U 0.740 0.170 0.480  1.57
2 U 0.260 0.830 0.520  1.57
3 Pb 0.602 0.731 0.204  -0.01
4 Pb 0.398 0.269 0.796  -0.01
5 Er 0.927 0.759 0.853  0.02
6 Er 0.073 0.241 0.147  0.02

Properties
Size of the total moment ... 3.4 Bohr magnetons per cell
Electronic total energy ... -6.62 eV per atom
Energy of formation from the pure elements ... -0.099 eV per atom
Symmetry ... No. 12